Version A
Entry from Alexandria: crystalline LiUPt6 at its relaxed geometry (GGA-PBE).

Calculated values
As for the symmetry: No. 123. For the density of states at the Fermi level, the calculation gives 6.42 states/eV/cell.

Cell: 4.0432 5.6809 5.6809 Å, 89.99 90.00 90.00°
Last column: nearest neighbours and their distance in Å.
Fractional positions:
Li (0.5000, 0.5000, 0.5000)  12 Pt 2.84
Pt (0.5000, 0.5000, 0.0000)  2 Li 2.84, 2 U 2.84, 8 Pt 2.85
Pt (0.0000, 0.7487, 0.7487)  8 Pt 2.83-2.86, 2 Li 2.84, 2 U 2.86
Pt (0.0000, 0.2514, 0.7486)  8 Pt 2.83-2.86, 2 Li 2.84, 2 U 2.86
Pt (0.5000, 0.0000, 0.5000)  2 U 2.84, 2 Li 2.84, 8 Pt 2.85
Pt (0.0000, 0.7486, 0.2514)  8 Pt 2.83-2.86, 2 Li 2.84, 2 U 2.86
Pt (0.0000, 0.2513, 0.2513)  8 Pt 2.83-2.86, 2 Li 2.84, 2 U 2.86
U (0.5000, 0.0000, 0.0000)  12 Pt 2.84-2.86


Version B
Entry from Alexandria: crystalline LiUPt6 at its relaxed geometry (GGA-PBE).

Calculated values
As for the symmetry: No. 187. For the density of states at the Fermi level, the calculation gives 8.29 states/eV/cell.

Cell: 4.6580 5.7032 5.7032 Å, 120.00 90.00 90.00°
Last column: nearest neighbours and their distance in Å.
Fractional positions:
Pt (0.0000, 0.5832, 0.9165)  8 Pt 2.85, 2 Li 2.85, 2 U 2.85
Pt (0.0000, 0.5832, 0.4168)  8 Pt 2.85, 2 U 2.85, 2 Li 2.85
Pt (0.5000, 0.9149, 0.0851)  8 Pt 2.82-2.88, 2 Li 2.85, 2 U 2.86
Pt (0.5000, 0.4201, 0.0851)  8 Pt 2.82-2.88, 2 Li 2.85, 2 U 2.86
Pt (0.5000, 0.9149, 0.5799)  8 Pt 2.82-2.88, 2 Li 2.85, 2 U 2.86
Pt (0.0000, 0.0835, 0.4168)  8 Pt 2.85, 2 Li 2.85, 2 U 2.85
Li (0.5000, 0.4164, 0.5836)  12 Pt 2.85
U (0.0000, 0.0833, 0.9167)  12 Pt 2.85-2.86


Stability summary - winner: version A; margin: 74 meV per atom.


Version A
Entry from Alexandria: crystalline LiVPt3 at its relaxed geometry (GGA-PBE).

Calculated values
As for the symmetry: No. 221. For the density of states at the Fermi level, the calculation gives 3.85 states/eV/cell.

Cell: 4.6593 4.6593 4.6593 Å, 90.00 90.00 90.00°
Last column: nearest neighbours and their distance in Å.
Fractional positions:
Pt (0.5000, 0.0000, 0.0000)  2 V 2.33
Pt (0.0000, 0.5000, 0.0000)  2 V 2.33
Pt (0.0000, 0.0000, 0.5000)  2 V 2.33
Li (0.5000, 0.5000, 0.5000)  12 Pt 3.29
V (0.0000, 0.0000, 0.0000)  6 Pt 2.33


Version B
Entry from Alexandria: crystalline LiVPt3 at its relaxed geometry (GGA-PBE).

Calculated values
As for the symmetry: No. 221. For the density of states at the Fermi level, the calculation gives 6.14 states/eV/cell.

Cell: 4.2073 4.2073 4.2073 Å, 90.00 90.00 90.00°
Last column: nearest neighbours and their distance in Å.
Fractional positions:
Pt (0.0000, 0.0000, 0.5000)  2 Li 2.10
Pt (0.5000, 0.0000, 0.0000)  2 Li 2.10
Pt (0.0000, 0.5000, 0.0000)  2 Li 2.10
V (0.5000, 0.5000, 0.5000)  12 Pt 2.97
Li (0.0000, 0.0000, 0.0000)  6 Pt 2.10


Stability summary - winner: version B; margin: 130 meV per atom.


Version A
Entry from Alexandria: crystalline LiV2Pt2 at its relaxed geometry (GGA-PBE).

Calculated values
As for the symmetry: No. 127. For the density of states at the Fermi level, the calculation gives 7.00 states/eV/cell.

Cell: 7.5817 7.5817 2.7115 Å, 90.00 90.00 90.00°
Last column: nearest neighbours and their distance in Å.
Fractional positions:
V (0.1615, 0.6615, 0.5000)  6 Pt 2.58-2.63, 2 V 2.71
V (0.6615, 0.8385, 0.5000)  6 Pt 2.58-2.63, 2 V 2.71
V (0.8385, 0.3385, 0.5000)  6 Pt 2.58-2.63, 2 V 2.71
V (0.3385, 0.1615, 0.5000)  6 Pt 2.58-2.63, 2 V 2.71
Pt (0.8658, 0.6342, 0.0000)  6 V 2.58-2.63, 3 Pt 2.71-2.88
Pt (0.3658, 0.8658, 0.0000)  6 V 2.58-2.63, 3 Pt 2.71-2.88
Pt (0.6342, 0.1342, 0.0000)  6 V 2.58-2.63, 3 Pt 2.71-2.88
Pt (0.1342, 0.3658, 0.0000)  6 V 2.58-2.63, 3 Pt 2.71-2.88
Li (0.5000, 0.5000, 0.0000)  2 Li 2.71, 4 Pt 2.95
Li (0.0000, 0.0000, 0.0000)  2 Li 2.71, 4 Pt 2.95


Version B
Entry from Alexandria: crystalline LiV2Pt2 at its relaxed geometry (GGA-PBE).

Calculated values
As for the symmetry: No. 127. For the density of states at the Fermi level, the calculation gives 8.59 states/eV/cell.

Cell: 7.6026 7.6026 2.6897 Å, 90.00 90.00 90.00°
Last column: nearest neighbours and their distance in Å.
Fractional positions:
Pt (0.3219, 0.1781, 0.5000)  6 V 2.61-2.64, 2 Pt 2.69
Pt (0.6781, 0.8219, 0.5000)  6 V 2.61-2.64, 2 Pt 2.69
Pt (0.8219, 0.3219, 0.5000)  6 V 2.61-2.64, 2 Pt 2.69
Pt (0.1781, 0.6781, 0.5000)  6 V 2.61-2.64, 2 Pt 2.69
V (0.6136, 0.1136, 0.0000)  3 V 2.44-2.69, 6 Pt 2.61-2.64
V (0.8864, 0.6136, 0.0000)  3 V 2.44-2.69, 6 Pt 2.61-2.64
V (0.1136, 0.3864, 0.0000)  3 V 2.44-2.69, 6 Pt 2.61-2.64
V (0.3864, 0.8864, 0.0000)  3 V 2.44-2.69, 6 Pt 2.61-2.64
Li (0.5000, 0.5000, 0.0000)  2 Li 2.69
Li (0.0000, 0.0000, 0.0000)  2 Li 2.69


Stability summary - winner: version B; margin: 33 meV per atom.